1.
Material: RbScInTe3
Method: DFT, PBE
State: relaxed

Properties
* density of states at the Fermi level: 3.416 states/eV/cell
* spin magnetization: 0.000 μB/cell
* energy relative to the elements, uncorrected: -0.9028 eV per atom
* total energy: -0.3048 Ry/atom

Cell: 4.1830 9.5249 11.6661 Å, 109.98 90.00 90.00°
Atoms (fractional coordinates):
Rb 0.2500 0.2216 0.2754
Rb 0.7500 0.7784 0.7246
Sc 0.2500 0.6328 0.1520
Sc 0.7500 0.3672 0.8480
In 0.2500 0.1233 0.5733
In 0.7500 0.8767 0.4267
Te 0.7500 0.8641 0.1779
Te 0.2500 0.1359 0.8221
Te 0.2500 0.6529 0.4127
Te 0.7500 0.3471 0.5873
Te 0.7500 0.4038 0.1075
Te 0.2500 0.5962 0.8925

2.
Material: Rb2ScTlIn
Method: DFT, PBE
State: relaxed

Properties
* density of states at the Fermi level: 5.274 states/eV/cell
* spin magnetization: 0.218 μB/cell
* energy of formation: 2.983 eV/f.u.
* total energy: -0.1527 Ry/atom

Cell: 7.0544 5.5062 7.0544 Å, 90.00 90.00 90.00°
Each line ends with the local moment (μB).
Atoms (fractional coordinates):
Sc 0.0000 0.0000 0.0000  0.16
Tl 0.5000 0.5000 0.5000  -0.01
Rb 0.0000 0.0000 0.5000  0.00
Rb 0.5000 0.0000 0.0000  0.00
In 0.0000 0.5000 0.0000  0.01

Question: Which of these has the highest density of states at the Fermi level?
Answer: Rb2ScTlIn

Repeat the second record exactly.
Material: Rb2ScTlIn
Method: DFT, PBE
State: relaxed

Properties
* density of states at the Fermi level: 5.274 states/eV/cell
* spin magnetization: 0.218 μB/cell
* energy of formation: 2.983 eV/f.u.
* total energy: -0.1527 Ry/atom

Cell: 7.0544 5.5062 7.0544 Å, 90.00 90.00 90.00°
Each line ends with the local moment (μB).
Atoms (fractional coordinates):
Sc 0.0000 0.0000 0.0000  0.16
Tl 0.5000 0.5000 0.5000  -0.01
Rb 0.0000 0.0000 0.5000  0.00
Rb 0.5000 0.0000 0.0000  0.00
In 0.0000 0.5000 0.0000  0.01

Question: What is the formula in the second record?
Answer: Rb2ScTlIn

Question: Which of these has the lowest density of states at the Fermi level?
Answer: RbScInTe3